Version P
Here is a relaxed structure of V3InF from Alexandria. Energies are from GGA+U.

abc: 4.496 4.496 4.496
angles: 90.00 90.00 90.00
Last column: magnetic moment on the atom in μB.
Fractional coordinates of all 5 atoms:
V1 0.000 0.500 0.000  2.73
V2 0.500 0.000 0.000  2.73
F1 0.000 0.000 0.000  0.04
In1 0.500 0.500 0.500  -0.13
V3 0.000 0.000 0.500  2.73

Version Q
Here is a relaxed structure of V3InF from Alexandria. Energies are from GGA+U.

abc: 5.298 5.298 5.298
angles: 90.00 90.00 90.00
Last column: magnetic moment on the atom in μB.
Fractional coordinates of all 5 atoms:
V1 0.500 0.000 0.000  2.94
In1 0.000 0.000 0.000  -0.07
V2 0.000 0.000 0.500  2.94
F1 0.500 0.500 0.500  -0.01
V3 0.000 0.500 0.000  2.94

version P (1.105 eV/atom below the next structure)

Version P
Here is a relaxed structure of VInF3 from Alexandria. Energies are from GGA+U.

abc: 4.457 4.457 4.457
angles: 90.00 90.00 90.00
Last column: magnetic moment on the atom in μB.
Fractional coordinates of all 5 atoms:
F1 0.000 0.000 0.500  0.01
V1 0.500 0.500 0.500  3.34
F2 0.500 0.000 0.000  0.01
In1 0.000 0.000 0.000  -0.04
F3 0.000 0.500 0.000  0.01

Version Q
Here is a relaxed structure of VInF3 from Alexandria. Energies are from GGA+U.

abc: 4.268 4.268 4.268
angles: 90.00 90.00 90.00
Last column: magnetic moment on the atom in μB.
Fractional coordinates of all 5 atoms:
F1 0.500 0.000 0.000  0.01
F2 0.000 0.000 0.500  0.01
F3 0.000 0.500 0.000  0.01
In1 0.500 0.500 0.500  0.00
V1 0.000 0.000 0.000  2.74

Version R
Here is a relaxed structure of VInF3 from Alexandria. Energies are from GGA+U.

abc: 4.237 5.824 7.732
angles: 100.45 90.00 111.33
Last column: magnetic moment on the atom in μB.
Fractional coordinates of all 10 atoms:
F1 0.820 0.639 0.325  0.01
V1 0.865 0.729 0.074  2.76
F2 0.180 0.361 0.675  0.01
In1 0.385 0.770 0.623  0.00
F3 0.065 0.129 0.167  0.01
F4 0.935 0.871 0.833  0.01
F5 0.666 0.331 0.955  0.01
V2 0.135 0.271 0.926  2.76
In2 0.615 0.230 0.377  0.00
F6 0.334 0.669 0.045  0.01

version Q (0.020 eV/atom below the next structure)

Version P
Here is a relaxed structure of In2WF from Alexandria. Energies are from GGA+U.

abc: 4.915 4.915 4.915
angles: 60.00 60.00 60.00
Last column: magnetic moment on the atom in μB.
Fractional coordinates of all 4 atoms:
In1 0.750 0.750 0.750  -0.06
F1 0.000 0.000 0.000  0.06
W1 0.500 0.500 0.500  3.15
In2 0.250 0.250 0.250  -0.06

Version Q
Here is a relaxed structure of In2WF from Alexandria. Energies are from GGA+U.

abc: 7.268 7.268 6.100
angles: 53.43 53.43 90.00
Last column: magnetic moment on the atom in μB.
Fractional coordinates of all 8 atoms:
W1 0.000 0.000 0.000  3.25
In1 0.570 0.125 0.250  -0.05
W2 0.750 0.250 0.500  3.25
In2 0.375 0.430 0.750  -0.05
In3 0.875 0.820 0.750  -0.06
In4 0.180 0.625 0.250  -0.06
F1 0.500 0.500 0.000  0.04
F2 0.250 0.750 0.500  0.04

version Q (0.055 eV/atom below the next structure)

Version P
Here is a relaxed structure of InWF2 from Alexandria. Energies are from GGA+U.

abc: 4.476 4.476 4.476
angles: 60.00 60.00 60.00
Fractional coordinates of all 4 atoms:
In1 0.000 0.000 0.000
F1 0.250 0.250 0.250
W1 0.500 0.500 0.500
F2 0.750 0.750 0.750

Version Q
Here is a relaxed structure of InWF2 from Alexandria. Energies are from GGA+U.

abc: 4.667 4.667 8.066
angles: 73.18 73.18 90.00
Last column: magnetic moment on the atom in μB.
Fractional coordinates of all 8 atoms:
F1 0.375 0.212 0.750  0.00
In1 0.500 0.500 0.000  -0.05
F2 0.788 0.125 0.250  -0.01
W1 0.750 0.250 0.500  2.95
F3 0.962 0.625 0.250  -0.01
F4 0.875 0.038 0.750  -0.01
In2 0.250 0.750 0.500  -0.05
W2 0.000 0.000 0.000  2.95

version Q (0.607 eV/atom below the next structure)

Version P
Here is a relaxed structure of InWF3 from Alexandria. Energies are from GGA+U.

abc: 4.437 4.437 4.437
angles: 90.00 90.00 90.00
Last column: magnetic moment on the atom in μB.
Fractional coordinates of all 5 atoms:
F1 0.000 0.500 0.000  0.04
W1 0.000 0.000 0.000  2.93
F2 0.500 0.000 0.000  0.06
In1 0.500 0.500 0.500  0.05
F3 0.000 0.000 0.500  0.03

Version Q
Here is a relaxed structure of InWF3 from Alexandria. Energies are from GGA+U.

abc: 4.431 4.431 4.431
angles: 90.00 90.00 90.00
Last column: magnetic moment on the atom in μB.
Fractional coordinates of all 5 atoms:
F1 0.000 0.500 0.000  0.05
F2 0.000 0.000 0.500  0.04
F3 0.500 0.000 0.000  0.03
W1 0.500 0.500 0.500  4.13
In1 0.000 0.000 0.000  -0.07

version P (0.686 eV/atom below the next structure)